(1)
The following is a DFT calculation (PBE-GGA) of crystalline Dy4Al at its relaxed geometry.

Values from the calculation:
DFT formation energy (kcal/mol of atoms): 7.71
Density (g/cm³): 6.6
Relative energy among the computed polymorphs (kJ/mol of formula units): 154

```
Dy4Al
1.0
5.545 0.000 0.000
0.000 5.545 0.000
0.000 0.000 5.545
Dy Al
4 1
Direct
0.500 0.500 0.000
0.500 0.000 0.500
0.000 0.500 0.500
0.000 0.000 0.000
0.500 0.500 0.500
```

---

(2)
The following is a DFT calculation (PBE-GGA) of crystalline AgC3 at its relaxed geometry.

Values from the calculation:
DFT formation energy (kcal/mol of atoms): 70.20
Density (g/cm³): 6.2
Relative energy among the computed polymorphs (kJ/mol of formula units): 805

```
AgC3
1.0
-3.552 0.952 -0.042
0.407 -3.288 -1.596
1.182 -0.172 3.478
C Ag
3 1
Direct
0.000 0.500 0.500
0.500 0.000 0.500
0.500 0.500 0.000
0.000 0.000 0.000
```

---

(3)
The following is a DFT calculation (PBE-GGA) of crystalline GdDy2Ru at its relaxed geometry.

Values from the calculation:
DFT formation energy (kcal/mol of atoms): -4.82
Density (g/cm³): 9.1
Relative energy among the computed polymorphs (kJ/mol of formula units): 0

```
GdDy2Ru
1.0
3.431 0.000 0.000
0.000 3.431 0.000
0.000 0.000 8.998
Ru Gd Dy
1 1 2
Direct
0.500 0.500 0.000
0.500 0.500 0.500
0.000 0.000 0.183
0.000 0.000 0.817
```

---

(4)
The following is a DFT calculation (PBE-GGA) of crystalline AlReRh6 at its relaxed geometry.

Values from the calculation:
DFT formation energy (kcal/mol of atoms): -7.50
Density (g/cm³): 12.2

```
AlReRh6
1.0
-0.622 -3.612 -1.133
1.573 -1.291 3.252
-6.914 0.127 3.395
Rh Al Re
6 1 1
Direct
0.000 0.500 0.745
0.500 0.500 0.000
0.500 0.000 0.745
0.500 0.500 0.500
0.500 0.000 0.255
0.000 0.500 0.255
0.000 0.000 0.000
0.000 0.000 0.500
```

---

Number 1: E -4.096 eV/atom, N(E_F) 9.1 states/eV per cell. Number 2: E -4.587 eV/atom, N(E_F) 1.1 states/eV per cell. Number 3: E -8.349 eV/atom, N(E_F) 4.9 states/eV per cell. Number 4: E -7.862 eV/atom, N(E_F) 5.6 states/eV per cell.